Entry 1:
# CsLiBe2Pt SCAN single point on PBEsol structure
data_CsLiBe2Pt
_chemical_formula_sum 'Cs1 Li1 Be2 Pt1'
_symmetry_space_group_name_H-M 'P 1'
_symmetry_Int_Tables_number 1
_cell_length_a 4.661
_cell_length_b 4.692
_cell_length_c 4.692
_cell_angle_alpha 90.00
_cell_angle_beta 90.00
_cell_angle_gamma 90.00
loop_
_symmetry_equiv_pos_as_xyz
'x,y,z'
loop_
_atom_site_label
_atom_site_type_symbol
_atom_site_fract_x
_atom_site_fract_y
_atom_site_fract_z
_atom_site_occupancy
Be1 Be 0.000 0.000 0.500 1
Be2 Be 0.000 0.500 0.000 1
Pt1 Pt 0.500 0.000 0.000 1
Cs1 Cs 0.500 0.500 0.500 1
Li1 Li 0.000 0.000 0.000 1
# Total magnetic moment = 0.0 μB/f.u.
# DOS(E_F) = 2.55 states/eV/f.u.
# DFT total energy = -22.803 eV/atom
# ΔH_f (0 K) = 5.09 eV per formula unit

Entry 2:
# CsLiBeSi2 SCAN single point on PBEsol structure
data_CsLiBeSi2
_chemical_formula_sum 'Cs1 Li1 Be1 Si2'
_symmetry_space_group_name_H-M 'P 1'
_symmetry_Int_Tables_number 1
_cell_length_a 4.721
_cell_length_b 4.721
_cell_length_c 5.278
_cell_angle_alpha 90.00
_cell_angle_beta 90.00
_cell_angle_gamma 90.00
loop_
_symmetry_equiv_pos_as_xyz
'x,y,z'
loop_
_atom_site_label
_atom_site_type_symbol
_atom_site_fract_x
_atom_site_fract_y
_atom_site_fract_z
_atom_site_occupancy
Li1 Li 0.000 0.000 0.000 1
Cs1 Cs 0.000 0.000 0.500 1
Si1 Si 0.500 0.000 0.000 1
Si2 Si 0.000 0.500 0.000 1
Be1 Be 0.500 0.500 0.500 1
# Total magnetic moment = 0.0 μB/f.u.
# DOS(E_F) = 2.95 states/eV/f.u.
# Formation energy (no corrections) = 6.496 eV/f.u.
# DFT total energy = -11.618 eV/atom

Entry 3:
# CsYMgBe2 SCAN single point on PBEsol structure
data_CsYMgBe2
_chemical_formula_sum 'Cs1 Y1 Mg1 Be2'
_symmetry_space_group_name_H-M 'P 1'
_symmetry_Int_Tables_number 1
_cell_length_a 5.463
_cell_length_b 5.463
_cell_length_c 6.137
_cell_angle_alpha 90.00
_cell_angle_beta 90.00
_cell_angle_gamma 90.00
loop_
_symmetry_equiv_pos_as_xyz
'x,y,z'
loop_
_atom_site_label
_atom_site_type_symbol
_atom_site_fract_x
_atom_site_fract_y
_atom_site_fract_z
_atom_site_occupancy
Mg1 Mg 0.000 0.000 0.500 1
Be1 Be 0.500 0.000 0.000 1
Be2 Be 0.000 0.500 0.000 1
Cs1 Cs 0.500 0.500 0.500 1
Y1 Y 0.000 0.000 0.000 1
# Total magnetic moment = 1.3 μB/f.u.
# DOS(E_F) = 5.59 states/eV/f.u.
# DFT total energy = -14.659 eV/atom
# ΔH_f (0 K) = 6.04 eV per formula unit

Entry 4:
# CsMn3Be SCAN single point on PBEsol structure
data_CsMn3Be
_chemical_formula_sum 'Cs1 Mn3 Be1'
_symmetry_space_group_name_H-M 'P 1'
_symmetry_Int_Tables_number 1
_cell_length_a 4.432
_cell_length_b 4.432
_cell_length_c 4.432
_cell_angle_alpha 90.00
_cell_angle_beta 90.00
_cell_angle_gamma 90.00
loop_
_symmetry_equiv_pos_as_xyz
'x,y,z'
loop_
_atom_site_label
_atom_site_type_symbol
_atom_site_fract_x
_atom_site_fract_y
_atom_site_fract_z
_atom_site_occupancy
Cs1 Cs 0.500 0.500 0.500 1
Be1 Be 0.000 0.000 0.000 1
Mn1 Mn 0.000 0.500 0.000 1
Mn2 Mn 0.000 0.000 0.500 1
Mn3 Mn 0.500 0.000 0.000 1
# Total magnetic moment = 12.1 μB/f.u.
# DOS(E_F) = 4.15 states/eV/f.u.
# DFT total energy = -18.486 eV/atom
# ΔH_f (0 K) = 4.50 eV per formula unit

Entry 5:
# CsBeMoPd2 SCAN single point on PBEsol structure
data_CsBeMoPd2
_chemical_formula_sum 'Cs1 Be1 Mo1 Pd2'
_symmetry_space_group_name_H-M 'P 1'
_symmetry_Int_Tables_number 1
_cell_length_a 4.361
_cell_length_b 4.361
_cell_length_c 5.182
_cell_angle_alpha 90.00
_cell_angle_beta 90.00
_cell_angle_gamma 90.00
loop_
_symmetry_equiv_pos_as_xyz
'x,y,z'
loop_
_atom_site_label
_atom_site_type_symbol
_atom_site_fract_x
_atom_site_fract_y
_atom_site_fract_z
_atom_site_occupancy
Be1 Be 0.000 0.000 0.000 1
Pd1 Pd 0.500 0.000 0.000 1
Pd2 Pd 0.000 0.500 0.000 1
Mo1 Mo 0.500 0.500 0.500 1
Cs1 Cs 0.000 0.000 0.500 1
# Total magnetic moment = 4.7 μB/f.u.
# DOS(E_F) = 1.42 states/eV/f.u.
# DFT total energy = -27.324 eV/atom
# ΔH_f (0 K) = 5.98 eV per formula unit

Entry 6:
# CsBeN2 SCAN single point on PBEsol structure
data_CsBeN2
_chemical_formula_sum 'Cs1 Be1 N2'
_symmetry_space_group_name_H-M 'P 1'
_symmetry_Int_Tables_number 1
_cell_length_a 4.100
_cell_length_b 4.100
_cell_length_c 7.384
_cell_angle_alpha 73.88
_cell_angle_beta 73.88
_cell_angle_gamma 60.00
loop_
_symmetry_equiv_pos_as_xyz
'x,y,z'
loop_
_atom_site_label
_atom_site_type_symbol
_atom_site_fract_x
_atom_site_fract_y
_atom_site_fract_z
_atom_site_occupancy
Be1 Be 0.000 0.000 0.000 1
N1 N 0.074 0.074 0.777 1
N2 N 0.926 0.926 0.223 1
Cs1 Cs 0.500 0.500 0.500 1
# Total magnetic moment = 3.0 μB/f.u.
# DOS(E_F) = 1.10 states/eV/f.u.
# Formation energy (no corrections) = 3.553 eV/f.u.
# DFT total energy = -14.298 eV/atom